[1]
A geometry-optimized KMn2Tc structure. Source: Alexandria via LeMat-Bulk, functional PBE.

- E above lowest polymorph: 204 meV per atom
- Symmetry: R3m, No. 160
- Magnetic moment: 1.1494 μB/atom

Unit cell a=2.8191 b=2.8191 c=30.0082 alpha=90.00 beta=90.00 gamma=120.00
Fractional positions:
K (0.0000, 0.0000, 0.0000)
K (0.3333, 0.6667, 0.6667)
K (0.6667, 0.3333, 0.3333)
Mn (0.0000, 0.0000, 0.5030)
Mn (0.0000, 0.0000, 0.7689)
Mn (0.3333, 0.6667, 0.1697)
Mn (0.3333, 0.6667, 0.4355)
Mn (0.6667, 0.3333, 0.1022)
Mn (0.6667, 0.3333, 0.8363)
Tc (0.0000, 0.0000, 0.2322)
Tc (0.3333, 0.6667, 0.8989)
Tc (0.6667, 0.3333, 0.5655)

---

[2]
A geometry-optimized KMnTc2 structure. Source: Alexandria via LeMat-Bulk, functional PBE.

- E above lowest polymorph: 569 meV per atom
- Symmetry: C2/m, No. 12
- Magnetic moment: 0.9044 μB/atom

Unit cell a=5.3895 b=10.1757 c=2.6063 alpha=90.00 beta=103.92 gamma=90.00
Fractional positions:
K (0.0000, 0.0000, 0.0000)
K (0.5000, 0.5000, 0.0000)
Mn (0.0000, 0.5000, 0.0000)
Mn (0.5000, 0.0000, 0.0000)
Tc (0.2500, 0.2500, 0.5000)
Tc (0.2500, 0.7500, 0.5000)
Tc (0.7500, 0.2500, 0.5000)
Tc (0.7500, 0.7500, 0.5000)

---

[3]
A geometry-optimized KMnTc3 structure. Source: Alexandria via LeMat-Bulk, functional PBE.

- E above lowest polymorph: 1932 meV per atom
- Symmetry: Pm-3m, No. 221
- Magnetic moment: 0.0446 μB/atom

Unit cell a=4.3923 b=4.3923 c=4.3923 alpha=90.00 beta=90.00 gamma=90.00
Fractional positions:
K (0.0000, 0.0000, 0.0000)
Mn (0.5000, 0.5000, 0.5000)
Tc (0.0000, 0.0000, 0.5000)
Tc (0.0000, 0.5000, 0.0000)
Tc (0.5000, 0.0000, 0.0000)

---

[4]
A geometry-optimized KMn2Tc structure. Source: Alexandria via LeMat-Bulk, functional PBE.

- E above lowest polymorph: 0 meV per atom
- Symmetry: P4/mmm, No. 123
- Magnetic moment: 1.7391 μB/atom

Unit cell a=3.0961 b=3.0961 c=8.6277 alpha=90.00 beta=90.00 gamma=90.00
Fractional positions:
K (0.0000, 0.0000, 0.0000)
Mn (0.5000, 0.5000, 0.3357)
Mn (0.5000, 0.5000, 0.6643)
Tc (0.0000, 0.0000, 0.5000)

---

[5]
A geometry-optimized KMn2Tc structure. Source: Alexandria via LeMat-Bulk, functional PBE.

- E above lowest polymorph: 467 meV per atom
- Symmetry: Imm2, No. 44
- Magnetic moment: 1.3043 μB/atom

Unit cell a=2.7143 b=5.2868 c=10.2456 alpha=90.00 beta=90.00 gamma=90.00
Fractional positions:
K (0.0000, 0.0000, 0.0000)
K (0.5000, 0.5000, 0.5000)
Mn (0.0000, 0.0000, 0.4866)
Mn (0.0000, 0.5000, 0.2051)
Mn (0.5000, 0.0000, 0.7051)
Mn (0.5000, 0.5000, 0.9866)
Tc (0.0000, 0.5000, 0.7886)
Tc (0.5000, 0.0000, 0.2886)

---

[6]
A geometry-optimized KMnTc2 structure. Source: Alexandria via LeMat-Bulk, functional PBE.

- E above lowest polymorph: 78 meV per atom
- Symmetry: Cmmm, No. 65
- Magnetic moment: 0.5931 μB/atom

Unit cell a=3.1239 b=4.3697 c=9.9830 alpha=90.00 beta=90.00 gamma=90.00
Fractional positions:
K (0.0000, 0.0000, 0.0000)
K (0.5000, 0.5000, 0.0000)
Mn (0.0000, 0.0000, 0.5000)
Mn (0.5000, 0.5000, 0.5000)
Tc (0.0000, 0.5000, 0.3006)
Tc (0.0000, 0.5000, 0.6994)
Tc (0.5000, 0.0000, 0.3006)
Tc (0.5000, 0.0000, 0.6994)

---

[7]
A geometry-optimized K2MnTc structure. Source: Alexandria via LeMat-Bulk, functional PBE.

- E above lowest polymorph: 934 meV per atom
- Symmetry: Fm-3m, No. 225
- Magnetic moment: 2.0063 μB/atom

Unit cell a=8.0721 b=8.0721 c=8.0721 alpha=90.00 beta=90.00 gamma=90.00
Fractional positions:
K (0.2500, 0.2500, 0.2500)
K (0.2500, 0.2500, 0.7500)
K (0.2500, 0.7500, 0.2500)
K (0.2500, 0.7500, 0.7500)
K (0.7500, 0.2500, 0.2500)
K (0.7500, 0.2500, 0.7500)
K (0.7500, 0.7500, 0.2500)
K (0.7500, 0.7500, 0.7500)
Mn (0.0000, 0.0000, 0.0000)
Mn (0.0000, 0.5000, 0.5000)
Mn (0.5000, 0.0000, 0.5000)
Mn (0.5000, 0.5000, 0.0000)
Tc (0.0000, 0.0000, 0.5000)
Tc (0.0000, 0.5000, 0.0000)
Tc (0.5000, 0.0000, 0.0000)
Tc (0.5000, 0.5000, 0.5000)

---

[8]
A geometry-optimized KMn2Tc structure. Source: Alexandria via LeMat-Bulk, functional PBE.

- E above lowest polymorph: 814 meV per atom
- Symmetry: Pmmm, No. 47
- Magnetic moment: 1.7074 μB/atom

Unit cell a=2.7421 b=4.9564 c=5.4195 alpha=90.00 beta=90.00 gamma=90.00
Fractional positions:
K (0.0000, 0.0000, 0.0000)
Mn (0.0000, 0.5000, 0.5000)
Mn (0.5000, 0.5000, 0.0000)
Tc (0.5000, 0.0000, 0.5000)

---

[9]
A geometry-optimized KMnTc2 structure. Source: Alexandria via LeMat-Bulk, functional PBE.

- E above lowest polymorph: 917 meV per atom
- Symmetry: Fm-3m, No. 225
- Magnetic moment: 0.0000 μB/atom

Unit cell a=6.2647 b=6.2647 c=6.2647 alpha=90.00 beta=90.00 gamma=90.00
Fractional positions:
K (0.0000, 0.0000, 0.0000)
K (0.0000, 0.5000, 0.5000)
K (0.5000, 0.0000, 0.5000)
K (0.5000, 0.5000, 0.0000)
Mn (0.0000, 0.0000, 0.5000)
Mn (0.0000, 0.5000, 0.0000)
Mn (0.5000, 0.0000, 0.0000)
Mn (0.5000, 0.5000, 0.5000)
Tc (0.2500, 0.2500, 0.2500)
Tc (0.2500, 0.2500, 0.7500)
Tc (0.2500, 0.7500, 0.2500)
Tc (0.2500, 0.7500, 0.7500)
Tc (0.7500, 0.2500, 0.2500)
Tc (0.7500, 0.2500, 0.7500)
Tc (0.7500, 0.7500, 0.2500)
Tc (0.7500, 0.7500, 0.7500)

---

[10]
A geometry-optimized KMn2Tc structure. Source: Alexandria via LeMat-Bulk, functional PBE.

- E above lowest polymorph: 647 meV per atom
- Symmetry: I4_1/amd, No. 141
- Magnetic moment: 1.4911 μB/atom

Unit cell a=5.3777 b=5.3777 c=15.4526 alpha=90.00 beta=90.00 gamma=90.00
Fractional positions:
K (0.0000, 0.2500, 0.3750)
K (0.0000, 0.7500, 0.6250)
K (0.5000, 0.2500, 0.1250)
K (0.5000, 0.7500, 0.8750)
Mn (0.0000, 0.0000, 0.0000)
Mn (0.0000, 0.5000, 0.0000)
Mn (0.2500, 0.2500, 0.7500)
Mn (0.2500, 0.7500, 0.2500)
Mn (0.5000, 0.0000, 0.5000)
Mn (0.5000, 0.5000, 0.5000)
Mn (0.7500, 0.2500, 0.7500)
Mn (0.7500, 0.7500, 0.2500)
Tc (0.0000, 0.2500, 0.8750)
Tc (0.0000, 0.7500, 0.1250)
Tc (0.5000, 0.2500, 0.6250)
Tc (0.5000, 0.7500, 0.3750)

---

[11]
A geometry-optimized K2MnTc structure. Source: Alexandria via LeMat-Bulk, functional PBE.

- E above lowest polymorph: 491 meV per atom
- Symmetry: I-42d, No. 122
- Magnetic moment: 0.3204 μB/atom

Unit cell a=12.8040 b=12.8040 c=4.4868 alpha=90.00 beta=90.00 gamma=90.00
Fractional positions:
K (0.0760, 0.7500, 0.1250)
K (0.2500, 0.0760, 0.8750)
K (0.2500, 0.4240, 0.3750)
K (0.4240, 0.7500, 0.6250)
K (0.5760, 0.2500, 0.6250)
K (0.7500, 0.5760, 0.3750)
K (0.7500, 0.9240, 0.8750)
K (0.9240, 0.2500, 0.1250)
Mn (0.0000, 0.0000, 0.0000)
Mn (0.0000, 0.5000, 0.2500)
Mn (0.5000, 0.0000, 0.7500)
Mn (0.5000, 0.5000, 0.5000)
Tc (0.0000, 0.0000, 0.5000)
Tc (0.0000, 0.5000, 0.7500)
Tc (0.5000, 0.0000, 0.2500)
Tc (0.5000, 0.5000, 0.0000)

---

[12]
A geometry-optimized KMn2Tc structure. Source: Alexandria via LeMat-Bulk, functional PBE.

- E above lowest polymorph: 226 meV per atom
- Symmetry: Cm, No. 8
- Magnetic moment: 1.4923 μB/atom

Unit cell a=8.2151 b=2.8233 c=7.4883 alpha=90.00 beta=93.90 gamma=90.00
Fractional positions:
K (0.0000, 0.0000, 0.0000)
K (0.5000, 0.5000, 0.0000)
Mn (0.2685, 0.5000, 0.3610)
Mn (0.4964, 0.0000, 0.5340)
Mn (0.7685, 0.0000, 0.3610)
Mn (0.9964, 0.5000, 0.5340)
Tc (0.2305, 0.0000, 0.6437)
Tc (0.7305, 0.5000, 0.6437)

---

[13]
A geometry-optimized KMnTc2 structure. Source: Alexandria via LeMat-Bulk, functional PBE.

- E above lowest polymorph: 338 meV per atom
- Symmetry: Immm, No. 71
- Magnetic moment: 0.5962 μB/atom

Unit cell a=2.6633 b=5.1095 c=10.4039 alpha=90.00 beta=90.00 gamma=90.00
Fractional positions:
K (0.0000, 0.0000, 0.0000)
K (0.5000, 0.5000, 0.5000)
Mn (0.0000, 0.0000, 0.5000)
Mn (0.5000, 0.5000, 0.0000)
Tc (0.0000, 0.5000, 0.2101)
Tc (0.0000, 0.5000, 0.7899)
Tc (0.5000, 0.0000, 0.2899)
Tc (0.5000, 0.0000, 0.7101)

---

[14]
A geometry-optimized K2MnTc structure. Source: Alexandria via LeMat-Bulk, functional PBE.

- E above lowest polymorph: 630 meV per atom
- Symmetry: I4/mmm, No. 139
- Magnetic moment: 0.5778 μB/atom

Unit cell a=4.0731 b=4.0731 c=11.7318 alpha=90.00 beta=90.00 gamma=90.00
Fractional positions:
K (0.0000, 0.5000, 0.2500)
K (0.0000, 0.5000, 0.7500)
K (0.5000, 0.0000, 0.2500)
K (0.5000, 0.0000, 0.7500)
Mn (0.0000, 0.0000, 0.0000)
Mn (0.5000, 0.5000, 0.5000)
Tc (0.0000, 0.0000, 0.5000)
Tc (0.5000, 0.5000, 0.0000)

---

[15]
A geometry-optimized K2MnTc structure. Source: Alexandria via LeMat-Bulk, functional PBE.

- E above lowest polymorph: 280 meV per atom
- Symmetry: Imm2, No. 44
- Magnetic moment: 0.0000 μB/atom

Unit cell a=3.3856 b=6.0918 c=11.4459 alpha=90.00 beta=90.00 gamma=90.00
Fractional positions:
K (0.0000, 0.0000, 0.0000)
K (0.0000, 0.5000, 0.2040)
K (0.5000, 0.0000, 0.7040)
K (0.5000, 0.5000, 0.5000)
Mn (0.0000, 0.5000, 0.7891)
Mn (0.5000, 0.0000, 0.2891)
Tc (0.0000, 0.0000, 0.4039)
Tc (0.5000, 0.5000, 0.9039)

---

[16]
A geometry-optimized K2MnTc structure. Source: Alexandria via LeMat-Bulk, functional PBE.

- E above lowest polymorph: 595 meV per atom
- Symmetry: C2/m, No. 12
- Magnetic moment: 0.7654 μB/atom

Unit cell a=5.7649 b=11.9581 c=2.8694 alpha=90.00 beta=114.76 gamma=90.00
Fractional positions:
K (0.2500, 0.2500, 0.0000)
K (0.2500, 0.7500, 0.0000)
K (0.7500, 0.2500, 0.0000)
K (0.7500, 0.7500, 0.0000)
Mn (0.0000, 0.0000, 0.5000)
Mn (0.5000, 0.5000, 0.5000)
Tc (0.0000, 0.5000, 0.5000)
Tc (0.5000, 0.0000, 0.5000)

---

[17]
A geometry-optimized K2MnTc structure. Source: Alexandria via LeMat-Bulk, functional PBE.

- E above lowest polymorph: 40 meV per atom
- Symmetry: C2/m, No. 12
- Magnetic moment: 0.4047 μB/atom

Unit cell a=20.9237 b=3.3789 c=3.4761 alpha=90.00 beta=98.65 gamma=90.00
Fractional positions:
K (0.1477, 0.0000, 0.1334)
K (0.3523, 0.5000, 0.8666)
K (0.6477, 0.5000, 0.1334)
K (0.8523, 0.0000, 0.8666)
Mn (0.0000, 0.5000, 0.0000)
Mn (0.5000, 0.0000, 0.0000)
Tc (0.0000, 0.0000, 0.5000)
Tc (0.5000, 0.5000, 0.5000)

---

[18]
A geometry-optimized K2MnTc structure. Source: Alexandria via LeMat-Bulk, functional PBE.

- E above lowest polymorph: 0 meV per atom
- Symmetry: P4mm, No. 99
- Magnetic moment: 0.5662 μB/atom

Unit cell a=3.3462 b=3.3462 c=10.4031 alpha=90.00 beta=90.00 gamma=90.00
Fractional positions:
K (0.0000, 0.0000, 0.0000)
K (0.5000, 0.5000, 0.4085)
Mn (0.0000, 0.0000, 0.6689)
Tc (0.5000, 0.5000, 0.7368)

---

[19]
A geometry-optimized K2MnTc structure. Source: Alexandria via LeMat-Bulk, functional PBE.

- E above lowest polymorph: 607 meV per atom
- Symmetry: Pmmm, No. 47
- Magnetic moment: 0.6098 μB/atom

Unit cell a=3.3080 b=4.7317 c=5.9583 alpha=90.00 beta=90.00 gamma=90.00
Fractional positions:
K (0.0000, 0.0000, 0.0000)
K (0.5000, 0.5000, 0.0000)
Mn (0.0000, 0.5000, 0.5000)
Tc (0.5000, 0.0000, 0.5000)

---

[20]
A geometry-optimized KMnTc2 structure. Source: Alexandria via LeMat-Bulk, functional PBE.

- E above lowest polymorph: 125 meV per atom
- Symmetry: Cmm2, No. 35
- Magnetic moment: 0.7740 μB/atom

Unit cell a=3.0787 b=4.5722 c=10.2045 alpha=90.00 beta=90.00 gamma=90.00
Fractional positions:
K (0.0000, 0.0000, 0.0000)
K (0.5000, 0.5000, 0.0000)
Mn (0.0000, 0.5000, 0.6959)
Mn (0.5000, 0.0000, 0.6959)
Tc (0.0000, 0.0000, 0.4971)
Tc (0.0000, 0.5000, 0.2908)
Tc (0.5000, 0.0000, 0.2908)
Tc (0.5000, 0.5000, 0.4971)

---

Number 1: calculated formation energy 0.8328 eV/atom. Number 2: calculated formation energy 1.2442 eV/atom. Number 3: calculated formation energy 3.3793 eV/atom. Number 4: calculated formation energy 0.6287 eV/atom. Number 5: calculated formation energy 1.0958 eV/atom. Number 6: calculated formation energy 0.7532 eV/atom. Number 7: calculated formation energy 1.6947 eV/atom. Number 8: calculated formation energy 1.4428 eV/atom. Number 9: calculated formation energy 1.5924 eV/atom. Number 10: calculated formation energy 1.2756 eV/atom. Number 11: calculated formation energy 1.2509 eV/atom. Number 12: calculated formation energy 0.8549 eV/atom. Number 13: calculated formation energy 1.0135 eV/atom. Number 14: calculated formation energy 1.3898 eV/atom. Number 15: calculated formation energy 1.0406 eV/atom. Number 16: calculated formation energy 1.3550 eV/atom. Number 17: calculated formation energy 0.8002 eV/atom. Number 18: calculated formation energy 0.7603 eV/atom. Number 19: calculated formation energy 1.3670 eV/atom. Number 20: calculated formation energy 0.8005 eV/atom.